First-principles (PBE+U) data for a relaxed CsRe2NiO8 crystal, as listed in Alexandria.

Cell: 5.513 5.513 8.714 Å, 85.69 85.69 63.59°
Each line ends with the local moment (μB).
Fractional coordinates of all 12 atoms:
Cs  0.000  0.000  0.500  0.00
Re  0.630  0.630  0.194  -0.27
Re  0.370  0.370  0.806  -0.27
Ni  0.000  0.000  0.000  1.66
O  0.726  0.226  0.831  0.00
O  0.784  0.784  0.061  -0.03
O  0.684  0.684  0.383  -0.02
O  0.316  0.316  0.617  -0.02
O  0.216  0.216  0.939  -0.03
O  0.226  0.726  0.831  0.00
O  0.774  0.274  0.169  0.00
O  0.274  0.774  0.169  0.00

Results
**SG**: C2/m (12)
**Energy**: -87.08 eV per formula unit
**Crystal system**: monoclinic
**Calculated density**: 4864 kg/m3
**Magnetic moment**: 0.9 μB per cell
**Calculated volume**: 236.27 Å³/cell